A plane-wave DFT calculation with PBE was carried out for a relaxed structure of Pr2OsC2.

Cell and atoms, written as POSCAR:
```
Pr2OsC2
1.0
6.5726 0.0000 0.0000
0.0000 5.4484 0.0000
0.0000 0.0000 10.2473
Pr Os C
8 4 8
Direct
0.0188 0.2500 0.2209
0.1976 0.2500 0.5476
0.3024 0.7500 0.0476
0.4812 0.7500 0.7209
0.5188 0.2500 0.2791
0.6976 0.2500 0.9524
0.8024 0.7500 0.4524
0.9812 0.7500 0.7791
0.2356 0.2500 0.8572
0.2644 0.7500 0.3572
0.7356 0.2500 0.6428
0.7644 0.7500 0.1428
0.0250 0.7500 0.2441
0.1876 0.7500 0.5382
0.3124 0.2500 0.0382
0.4750 0.2500 0.7441
0.5250 0.7500 0.2559
0.6876 0.7500 0.9618
0.8124 0.2500 0.4618
0.9750 0.2500 0.7559
```

## Properties
Formation energy in eV/atom: -0.207
Relative energy among the computed polymorphs in eV per formula unit: 0.00
Energy in eV/atom: -8.0547
Symmetry: No. 62